Record 1
CsBSbI2 | PBE | relaxed

## Properties
As for the calculated total energy: -2.785 eV/atom. For the energy above the most stable polymorph in this dataset, the calculation gives 22 meV/atom.

Unit cell a=6.1617 b=6.1617 c=4.5827 alpha=90.00 beta=90.00 gamma=90.00
Fractional positions:
Cs1 0.0000 0.0000 0.0000
B1 0.5000 0.5000 0.5000
Sb1 0.5000 0.5000 0.0000
I1 0.0000 0.5000 0.5000
I2 0.5000 0.0000 0.5000

Record 2
CsBSbI2 | PBE | relaxed

## Properties
As for the calculated total energy: -1.601 eV/atom. For the energy above the most stable polymorph in this dataset, the calculation gives 1206 meV/atom.

Unit cell a=7.3144 b=7.3144 c=7.6440 alpha=90.00 beta=90.00 gamma=90.00
Fractional positions:
Cs1 0.0000 0.0000 0.0000
B1 0.5000 0.5000 0.5000
Sb1 0.0000 0.0000 0.5000
I1 0.0000 0.5000 0.0000
I2 0.5000 0.0000 0.0000

Record 3
Cs2SiBI6 | PBE | relaxed

## Properties
As for the calculated total energy: -2.665 eV/atom.

Unit cell a=8.1690 b=8.1690 c=8.1690 alpha=122.36 beta=122.36 gamma=85.95
Fractional positions:
Cs1 0.2500 0.7500 0.5000
Cs2 0.7500 0.2500 0.5000
Si1 0.0000 0.0000 0.0000
B1 0.5000 0.5000 0.0000
I1 0.2415 0.2415 0.0000
I2 0.2591 0.2591 0.5182
I3 0.2591 0.7409 0.0000
I4 0.7409 0.2591 0.0000
I5 0.7409 0.7409 0.4818
I6 0.7585 0.7585 0.0000

| no. | raw formation energy (eV/atom) | DOS at the Fermi energy (states/eV/cell) | size of the total moment (Bohr magnetons per cell) |
| --- | --- | --- | --- |
| 1 | 0.166 | 2.0 | 0.0 |
| 2 | 1.350 | 11.9 | 2.9 |
| 3 | -0.354 | 3.5 | 0.0 |